A relaxed structure of NpPRuO. Source: the Alexandria database, functional PBE.

Unit cell a=3.9788 b=3.9788 c=7.8166 alpha=90.00 beta=90.00 gamma=90.00
Fractional positions:
Np1 0.0000 0.5000 0.8488
Np2 0.5000 0.0000 0.1512
P1 0.5000 0.0000 0.6546
P2 0.0000 0.5000 0.3454
Ru1 0.0000 0.0000 0.5000
Ru2 0.5000 0.5000 0.5000
O1 0.5000 0.5000 0.0000
O2 0.0000 0.0000 0.0000

* space group: P4/nmm (129)
* crystal system: tetragonal

***

A relaxed structure of NpScP2O8. Source: the Alexandria database, functional PBE.

Unit cell a=5.2034 b=5.2034 c=6.8503 alpha=90.00 beta=90.00 gamma=120.00
Fractional positions:
Np1 0.0000 0.0000 0.0000
Sc1 0.0000 0.0000 0.5000
P1 0.6667 0.3333 0.2191
P2 0.3333 0.6667 0.7809
O1 0.3333 0.6667 0.0047
O2 0.3423 0.1711 0.2945
O3 0.8289 0.1712 0.2945
O4 0.6667 0.3333 0.9953
O5 0.1711 0.8288 0.7055
O6 0.6577 0.8289 0.7055
O7 0.1712 0.3423 0.7055
O8 0.8288 0.6577 0.2945

* space group: P-3m1 (164)
* crystal system: trigonal

***

A relaxed structure of SmNpPO2. Source: the Alexandria database, functional PBE.

Unit cell a=3.7746 b=3.7746 c=6.6219 alpha=106.56 beta=106.56 gamma=90.00
Fractional positions:
Sm1 0.8587 0.8587 0.7174
Np1 0.1463 0.1463 0.2925
P1 0.5048 0.5048 0.0097
O1 0.7451 0.2451 0.4902
O2 0.2451 0.7451 0.4902

* space group: I4mm (107)
* crystal system: tetragonal

***

A relaxed structure of Sr2NpPO8. Source: the Alexandria database, functional PBE.

Unit cell a=5.5577 b=5.5577 c=5.8302 alpha=90.00 beta=90.00 gamma=120.00
Fractional positions:
Sr1 0.6667 0.3333 0.1182
Sr2 0.3333 0.6667 0.8818
Np1 0.0000 0.0000 0.5000
P1 0.0000 0.0000 0.0000
O1 0.8582 0.7165 0.8196
O2 0.2835 0.1418 0.8196
O3 0.8582 0.1418 0.8196
O4 0.1418 0.2835 0.1804
O5 0.7165 0.8582 0.1804
O6 0.1418 0.8582 0.1804
O7 0.6667 0.3333 0.4958
O8 0.3333 0.6667 0.5042

* space group: P-3m1 (164)
* crystal system: trigonal

***

A relaxed structure of SrNpP2O8. Source: the Alexandria database, functional PBE.

Unit cell a=6.9755 b=6.9755 c=13.4088 alpha=90.00 beta=90.00 gamma=99.16
Fractional positions:
Sr1 0.7703 0.2703 0.2500
Sr2 0.7297 0.2297 0.7500
Sr3 0.2297 0.7297 0.7500
Sr4 0.2703 0.7703 0.2500
Np1 0.2283 0.2283 0.4090
Np2 0.7717 0.7717 0.5910
Np3 0.2717 0.2717 0.9090
Np4 0.7283 0.7283 0.0910
P1 0.3216 0.3216 0.1826
P2 0.6784 0.6784 0.8174
P3 0.1784 0.1784 0.6826
P4 0.8216 0.8216 0.3174
P5 0.7731 0.2269 0.0000
P6 0.2731 0.7269 0.5000
P7 0.2269 0.7731 0.0000
P8 0.7269 0.2731 0.5000
O1 0.1481 0.3804 0.2414
O2 0.6196 0.8519 0.7586
O3 0.1196 0.3519 0.7414
O4 0.6481 0.8804 0.2586
O5 0.8519 0.6196 0.7586
O6 0.3804 0.1481 0.2414
O7 0.8804 0.6481 0.2586
O8 0.3519 0.1196 0.7414
O9 0.2684 0.2684 0.0731
O10 0.7316 0.7316 0.9269
O11 0.2316 0.2316 0.5731
O12 0.7684 0.7684 0.4269
O13 0.4932 0.4932 0.1876
O14 0.5068 0.5068 0.8124
O15 0.0068 0.0068 0.6876
O16 0.9932 0.9932 0.3124
O17 0.9409 0.2262 0.9237
O18 0.7738 0.0591 0.0763
O19 0.2738 0.5591 0.4237
O20 0.4409 0.7262 0.5763
O21 0.0591 0.7738 0.0763
O22 0.2262 0.9409 0.9237
O23 0.7262 0.4409 0.5763
O24 0.5591 0.2738 0.4237
O25 0.7939 0.4133 0.0645
O26 0.5867 0.2061 0.9355
O27 0.0867 0.7061 0.5645
O28 0.2939 0.9133 0.4355
O29 0.2061 0.5867 0.9355
O30 0.4133 0.7939 0.0645
O31 0.9133 0.2939 0.4355
O32 0.7061 0.0867 0.5645

* space group: Cmce (64)
* crystal system: orthorhombic

***

A relaxed structure of SrNpP2O8. Source: the Alexandria database, functional PBE.

Unit cell a=4.9953 b=4.9953 c=8.2633 alpha=72.41 beta=72.41 gamma=60.00
Fractional positions:
Sr1 0.0000 0.0000 0.0000
Np1 0.5000 0.5000 0.5000
P1 0.7478 0.7478 0.7567
P2 0.2522 0.2522 0.2433
O1 0.6823 0.6823 0.9530
O2 0.3177 0.3177 0.0470
O3 0.5171 0.2374 0.3139
O4 0.7626 0.4829 0.6861
O5 0.0683 0.7626 0.6861
O6 0.2374 0.9317 0.3139
O7 0.9317 0.5171 0.3139
O8 0.4829 0.0683 0.6861

* space group: R32 (155)
* crystal system: trigonal

***

Record-wise energy relative to the elements, uncorrected values, in meV/atom: -1695, -2697, -2355, -1910, -2716, -2631